[1]
ScAg GGA-PBE optimized geometry; SG = No. 57; ΔE_f = -16.8 kJ/mol of atoms
1.0
10.163 0.000 0.000
0.000 8.330 0.000
0.000 0.000 5.875
Sc Ag
12 12
Cartesian
1.245 2.083 0.000
1.245 2.083 2.937
1.761 5.248 1.469
1.761 7.247 4.406
3.735 0.380 1.469
3.735 3.785 4.406
6.428 4.545 1.469
6.428 7.950 4.406
8.402 1.083 1.469
8.402 3.082 4.406
8.918 6.248 0.000
8.918 6.248 2.937
0.749 4.564 4.406
0.749 7.931 1.469
3.686 0.931 4.406
3.686 3.234 1.469
4.246 6.248 0.000
4.246 6.248 2.937
5.916 2.083 0.000
5.916 2.083 2.937
6.476 5.096 4.406
6.476 7.399 1.469
9.414 0.399 4.406
9.414 3.766 1.469

=====

[2]
RbCd2SnCl8 GGA-PBE optimized geometry; uncorrected formation energy = -1030 meV/atom; SG = No. 119
1.0
-4.832 4.832 4.223
4.832 -4.832 4.223
4.832 4.832 -4.223
Rb Cd Sn Cl
1 2 1 8
Cartesian
0.000 0.000 0.000
0.000 0.000 4.223
0.000 4.832 2.112
4.832 0.000 2.112
2.795 4.832 -1.464
2.037 0.000 2.759
0.000 3.170 0.252
4.832 2.795 1.464
0.000 6.494 0.252
0.000 2.037 5.687
-1.662 4.832 3.972
1.662 4.832 3.972